Zr2TaHg: optimized geometry, GGA-PBE.

POSCAR file:
```
Zr2TaHg
1.0
5.003 -1.547 0.000
5.003 1.547 0.000
-0.940 0.000 5.474
Zr Ta Hg
2 1 1
Cartesian
2.251 0.000 1.396
6.815 0.000 4.078
-0.470 0.000 2.737
5.003 0.000 0.000
```

Values from the calculation:
- crystal system = monoclinic
- formation enthalpy at 0 K (eV per atom) = 0.16
- SG = No. 12
- magnetization (μB/cell) = 0.0


Pm3Tl2H: optimized geometry, GGA-PBE.

POSCAR file:
```
Pm3Tl2H
1.0
7.214 -3.254 0.000
7.214 3.254 0.000
-1.168 0.000 6.753
Pm Tl H
6 4 2
Cartesian
6.338 2.694 5.065
4.914 0.617 2.586
4.330 -0.617 5.963
8.929 0.617 0.790
8.345 -0.617 4.167
6.922 -2.694 1.688
2.526 0.613 0.368
1.942 -0.613 3.744
11.317 0.613 3.009
10.733 -0.613 6.386
6.338 0.383 5.065
6.922 -0.383 1.688
```

Values from the calculation:
- electronic total energy (eV per cell) = -48.130
- crystal system = monoclinic
- SG = No. 15
- magnetization (μB/cell) = 0.0


OsBr3N: optimized geometry, GGA-PBE.

POSCAR file:
```
OsBr3N
1.0
4.979 0.000 0.000
0.000 4.979 0.000
0.000 0.000 4.979
Os Br N
1 3 1
Cartesian
0.000 0.000 0.000
0.000 0.000 2.489
0.000 2.489 0.000
2.489 0.000 0.000
2.489 2.489 2.489
```

Values from the calculation:
- crystal system = cubic
- raw formation energy (eV/atom) = 1.788
- SG = No. 221
- ΔE to the lowest computed polymorph (meV/atom) = 0
- magnetization (μB/cell) = 0.0


BaMo2Pd: optimized geometry, GGA-PBE.

POSCAR file:
```
BaMo2Pd
1.0
0.000 3.364 3.364
3.364 0.000 3.364
3.364 3.364 0.000
Ba Mo Pd
1 2 1
Cartesian
0.000 0.000 0.000
1.682 1.682 1.682
5.046 5.046 5.046
3.364 3.364 3.364
```

Values from the calculation:
- crystal system = cubic
- formation enthalpy at 0 K (eV per atom) = 1.22
- SG = No. 225
- ΔE to the lowest computed polymorph (meV/atom) = 276
- magnetization (μB/cell) = 0.0


ZrMnW2: optimized geometry, GGA-PBE.

POSCAR file:
```
ZrMnW2
1.0
1.614 -2.261 0.000
1.614 2.261 0.000
0.000 0.000 8.887
Zr Mn W
1 1 2
Cartesian
0.000 0.000 0.000
0.000 0.000 4.443
1.614 0.000 2.482
1.614 0.000 6.405
```

Values from the calculation:
- crystal system = orthorhombic
- formation enthalpy at 0 K (eV per atom) = 0.19
- SG = No. 65
- ΔE to the lowest computed polymorph (meV/atom) = 127
- magnetization (μB/cell) = 1.1


SrIn2Hg2: optimized geometry, GGA-PBE.

POSCAR file:
```
SrIn2Hg2
1.0
-2.330 2.330 6.534
2.330 -2.330 6.534
2.330 2.330 -6.534
Sr In Hg
1 2 2
Cartesian
0.000 0.000 0.000
2.330 0.000 3.267
0.000 2.330 3.267
0.000 0.000 5.125
0.000 0.000 7.943
```

Values from the calculation:
- crystal system = tetragonal
- formation enthalpy at 0 K (eV per atom) = -0.32
- SG = No. 139
- magnetization (μB/cell) = 0.0


TaBeB: optimized geometry, GGA-PBE.

POSCAR file:
```
TaBeB
1.0
3.261 0.000 0.000
-1.630 2.824 0.000
0.000 0.000 3.258
Ta Be B
1 1 1
Cartesian
0.000 0.000 0.000
1.630 0.941 1.629
0.000 1.882 1.629
```

Values from the calculation:
- crystal system = hexagonal
- formation enthalpy at 0 K (eV per atom) = -0.69
- SG = No. 187
- ΔE to the lowest computed polymorph (meV/atom) = 0
- magnetization (μB/cell) = 0.0


CsCu: optimized geometry, GGA-PBE.

POSCAR file:
```
CsCu
1.0
0.000 5.817 7.077
4.269 0.000 7.077
4.269 5.817 0.000
Cs Cu
4 4
Cartesian
3.202 1.001 5.307
5.336 3.910 8.846
3.202 7.724 5.307
5.336 10.633 8.846
4.434 4.363 5.307
6.569 7.271 8.846
1.969 4.363 5.307
4.103 7.271 8.846
```

Values from the calculation:
- crystal system = orthorhombic
- formation enthalpy at 0 K (eV per atom) = 0.44
- SG = No. 70
- magnetization (μB/cell) = 0.0